# 1
DFT (PBE) results for a relaxed DySiNiRh crystal.

Cell: 4.2168 3.7365 9.2993 Å, 90.00 90.00 90.00°
Last column: nearest neighbours and their distance in Å.
Space group Amm2 (No. 38)
Inequivalent atoms, fractional coordinates:
1 Dy 0.0000 0.0000 0.0000 (multiplicity 2)  3 Rh 2.59-2.78
2 Si 0.5000 0.0000 0.6136 (multiplicity 2)  2 Ni 2.31, 2 Rh 2.34
3 Ni 0.5000 0.0000 0.2599 (multiplicity 2)  2 Si 2.31
4 Rh 0.0000 0.0000 0.7216 (multiplicity 2)  2 Si 2.34, 1 Dy 2.59

## Properties
M_tot: 0.00 μB per formula unit



# 2
DFT (PBE) results for a relaxed Pr2Nd4Dy2Y crystal.

Cell: 19.0734 3.6866 9.7831 Å, 90.00 115.69 90.00°
Last column: nearest neighbours and their distance in Å.
Space group C2/m (No. 12)
Inequivalent atoms, fractional coordinates:
1 Pr 0.1659 0.0000 0.4977 (multiplicity 4)  3 Dy 3.61-3.64, 3 Nd 3.61-3.64, 2 Y 3.67, 4 Pr 3.68-3.69
2 Nd 0.0184 0.0000 0.8353 (multiplicity 4)  5 Nd 3.58-3.69, 1 Pr 3.61, 4 Dy 3.62-3.66, 2 Y 3.64
3 Nd 0.1859 0.5000 0.8335 (multiplicity 4)  6 Nd 3.62-3.69, 1 Y 3.63, 3 Dy 3.63-3.67, 2 Pr 3.64
4 Dy 0.1480 0.5000 0.1668 (multiplicity 4)  3 Pr 3.61-3.64, 7 Nd 3.62-3.67, 2 Dy 3.69
5 Y 0.0000 0.5000 0.5000 (multiplicity 2)  6 Nd 3.63-3.64, 4 Pr 3.67, 2 Y 3.69

## Properties
M_tot: 0.00 μB per formula unit



# 3
DFT (PBE) results for a relaxed SrLiTlCl4 crystal.

Cell: 6.9589 7.0326 8.7468 Å, 90.00 108.14 90.00°
Last column: nearest neighbours and their distance in Å.
Space group P2_1/m (No. 11)
Inequivalent atoms, fractional coordinates:
1 Sr 0.2196 0.2500 0.0528 (multiplicity 2)  6 Cl 2.92-2.97
2 Li 0.2306 0.7500 0.8110 (multiplicity 2)  4 Cl 2.33-2.36
3 Tl 0.2761 0.2500 0.5671 (multiplicity 2)  2 Cl 3.10-3.13
4 Cl 0.0001 0.0004 0.2171 (multiplicity 4)  1 Li 2.34
5 Cl 0.4412 0.7500 0.6494 (multiplicity 2)  1 Li 2.33
6 Cl 0.4443 0.7500 0.0798 (multiplicity 2)  1 Li 2.36

## Properties
M_tot: 0.00 μB per formula unit



# 4
DFT (PBE) results for a relaxed NdAsH2O4 crystal.

Cell: 4.8335 5.6079 6.2702 Å, 90.00 90.00 90.00°
Last column: nearest neighbours and their distance in Å.
Space group I222 (No. 23)
Inequivalent atoms, fractional coordinates:
1 Nd 0.0000 0.0000 0.0000 (multiplicity 2)  8 O 2.46-2.60
2 As 0.0000 0.0000 0.5000 (multiplicity 2)  4 O 2.09
3 H 0.0000 0.5000 0.1997 (multiplicity 4)  2 O 1.23
4 O 0.2000 0.3639 0.7936 (multiplicity 8)  1 H 1.23

## Properties
M_tot: 0.00 μB per formula unit



Number 1: DOS(E_F) 2.79 states/eV per cell, E -6.272 eV per atom. Number 2: DOS(E_F) 23.88 states/eV per cell, E -4.914 eV per atom. Number 3: DOS(E_F) 0.00 states/eV per cell, E -3.755 eV per atom. Number 4: DOS(E_F) 0.00 states/eV per cell, E -6.030 eV per atom.